First-principles (PBE-GGA) data for Pr2Dy8Y3 after structural relaxation, as listed in Alexandria.

CIF file:
```
data_Pr2Dy8Y3
_chemical_formula_sum 'Pr2 Dy8 Y3'
_cell_length_a 5.558
_cell_length_b 7.639
_cell_length_c 11.124
_cell_angle_alpha 110.14
_cell_angle_beta 90.00
_cell_angle_gamma 90.00
_symmetry_space_group_name_H-M 'P 1'
_symmetry_Int_Tables_number 1
loop_
_symmetry_equiv_pos_as_xyz
'x,y,z'
loop_
_atom_site_label
_atom_site_type_symbol
_atom_site_fract_x
_atom_site_fract_y
_atom_site_fract_z
_atom_site_occupancy
Dy1 Dy 0.500 0.819 0.213 1
Dy2 Dy 0.500 0.181 0.787 1
Dy3 Dy 0.500 0.395 0.213 1
Dy4 Dy 0.000 0.129 0.257 1
Dy5 Dy 0.500 0.605 0.787 1
Dy6 Dy 0.000 0.871 0.743 1
Dy7 Dy 0.000 0.662 0.323 1
Dy8 Dy 0.000 0.338 0.677 1
Y1 Y 0.500 0.000 0.000 1
Y2 Y 0.000 0.714 0.000 1
Y3 Y 0.000 0.286 0.000 1
Pr1 Pr 0.500 0.241 0.481 1
Pr2 Pr 0.500 0.759 0.519 1
```

Computed properties:
magnetization	0.000	μB/f.u.
formation enthalpy at 0 K	0.239	eV/atom
density of states at the Fermi level	22.54	states/eV per cell
energy	-4.82	eV/atom
SG	P2/m, No. 10


First-principles (PBE-GGA) data for Pr12Dy5Y2 after structural relaxation, as listed in Alexandria.

CIF file:
```
data_Pr12Dy5Y2
_chemical_formula_sum 'Pr12 Dy5 Y2'
_cell_length_a 7.619
_cell_length_b 11.011
_cell_length_c 10.110
_cell_angle_alpha 58.96
_cell_angle_beta 90.00
_cell_angle_gamma 110.24
_symmetry_space_group_name_H-M 'P 1'
_symmetry_Int_Tables_number 1
loop_
_symmetry_equiv_pos_as_xyz
'x,y,z'
loop_
_atom_site_label
_atom_site_type_symbol
_atom_site_fract_x
_atom_site_fract_y
_atom_site_fract_z
_atom_site_occupancy
Pr1 Pr 0.409 0.320 0.528 1
Pr2 Pr 0.509 0.018 0.315 1
Pr3 Pr 0.402 0.329 0.166 1
Pr4 Pr 0.089 0.680 0.472 1
Pr5 Pr 0.073 0.671 0.834 1
Pr6 Pr 0.598 0.671 0.834 1
Pr7 Pr 0.927 0.329 0.166 1
Pr8 Pr 0.591 0.680 0.472 1
Pr9 Pr 0.003 0.006 0.203 1
Pr10 Pr 0.491 0.982 0.685 1
Pr11 Pr 0.911 0.320 0.528 1
Pr12 Pr 0.997 0.994 0.797 1
Dy1 Dy 0.000 0.000 0.500 1
Dy2 Dy 0.320 0.639 0.166 1
Dy3 Dy 0.175 0.351 0.821 1
Dy4 Dy 0.680 0.361 0.834 1
Dy5 Dy 0.825 0.649 0.179 1
Y1 Y 0.700 0.000 0.000 1
Y2 Y 0.300 0.000 0.000 1
```

Computed properties:
magnetization	0.000	μB/f.u.
formation enthalpy at 0 K	0.169	eV/atom
density of states at the Fermi level	30.91	states/eV per cell
energy	-4.74	eV/atom
SG	C2/m, No. 12


First-principles (PBE-GGA) data for Pr5Dy2Y2 after structural relaxation, as listed in Alexandria.

CIF file:
```
data_Pr5Dy2Y2
_chemical_formula_sum 'Pr10 Dy4 Y4'
_cell_length_a 11.956
_cell_length_b 6.868
_cell_length_c 10.241
_cell_angle_alpha 109.59
_cell_angle_beta 125.71
_cell_angle_gamma 90.00
_symmetry_space_group_name_H-M 'P 1'
_symmetry_Int_Tables_number 1
loop_
_symmetry_equiv_pos_as_xyz
'x,y,z'
loop_
_atom_site_label
_atom_site_type_symbol
_atom_site_fract_x
_atom_site_fract_y
_atom_site_fract_z
_atom_site_occupancy
Pr1 Pr 0.013 0.650 0.500 1
Pr2 Pr 0.780 0.267 0.100 1
Pr3 Pr 0.987 0.150 0.500 1
Pr4 Pr 0.581 0.239 0.711 1
Pr5 Pr 0.631 0.739 0.711 1
Pr6 Pr 0.820 0.767 0.100 1
Pr7 Pr 0.369 0.028 0.289 1
Pr8 Pr 0.419 0.528 0.289 1
Pr9 Pr 0.180 0.668 0.900 1
Pr10 Pr 0.220 0.168 0.900 1
Dy1 Dy 0.750 0.840 0.500 1
Dy2 Dy 0.500 0.566 0.000 1
Dy3 Dy 0.250 0.340 0.500 1
Dy4 Dy 0.000 0.066 0.000 1
Y1 Y 0.139 0.668 0.258 1
Y2 Y 0.619 0.168 0.258 1
Y3 Y 0.861 0.410 0.742 1
Y4 Y 0.381 0.910 0.742 1
```

Computed properties:
magnetization	0.000	μB/f.u.
formation enthalpy at 0 K	0.213	eV/atom
density of states at the Fermi level	23.88	states/eV per cell
energy	-4.90	eV/atom
SG	Ima2, No. 46


First-principles (PBE-GGA) data for Pr5Dy8Y after structural relaxation, as listed in Alexandria.

CIF file:
```
data_Pr5Dy8Y
_chemical_formula_sum 'Pr5 Dy8 Y1'
_cell_length_a 3.570
_cell_length_b 16.999
_cell_length_c 8.919
_cell_angle_alpha 62.30
_cell_angle_beta 101.54
_cell_angle_gamma 90.00
_symmetry_space_group_name_H-M 'P 1'
_symmetry_Int_Tables_number 1
loop_
_symmetry_equiv_pos_as_xyz
'x,y,z'
loop_
_atom_site_label
_atom_site_type_symbol
_atom_site_fract_x
_atom_site_fract_y
_atom_site_fract_z
_atom_site_occupancy
Dy1 Dy 0.783 0.147 0.566 1
Dy2 Dy 0.923 0.721 0.845 1
Dy3 Dy 0.147 0.559 0.293 1
Dy4 Dy 0.077 0.279 0.155 1
Dy5 Dy 0.418 0.224 0.836 1
Dy6 Dy 0.853 0.441 0.707 1
Dy7 Dy 0.582 0.776 0.164 1
Dy8 Dy 0.217 0.853 0.434 1
Y1 Y 0.500 0.500 0.000 1
Pr1 Pr 0.356 0.940 0.712 1
Pr2 Pr 0.714 0.356 0.427 1
Pr3 Pr 0.000 0.000 0.000 1
Pr4 Pr 0.286 0.644 0.573 1
Pr5 Pr 0.644 0.060 0.289 1
```

Computed properties:
magnetization	0.000	μB/f.u.
formation enthalpy at 0 K	0.050	eV/atom
density of states at the Fermi level	21.16	states/eV per cell
energy	-4.75	eV/atom
SG	C2/m, No. 12


First-principles (PBE-GGA) data for Pr2Dy2Y3 after structural relaxation, as listed in Alexandria.

CIF file:
```
data_Pr2Dy2Y3
_chemical_formula_sum 'Pr2 Dy2 Y3'
_cell_length_a 3.602
_cell_length_b 8.069
_cell_length_c 9.513
_cell_angle_alpha 114.84
_cell_angle_beta 100.99
_cell_angle_gamma 102.91
_symmetry_space_group_name_H-M 'P 1'
_symmetry_Int_Tables_number 1
loop_
_symmetry_equiv_pos_as_xyz
'x,y,z'
loop_
_atom_site_label
_atom_site_type_symbol
_atom_site_fract_x
_atom_site_fract_y
_atom_site_fract_z
_atom_site_occupancy
Dy1 Dy 0.358 0.429 0.288 1
Dy2 Dy 0.642 0.571 0.712 1
Y1 Y 0.212 0.853 0.571 1
Y2 Y 0.788 0.147 0.429 1
Y3 Y 0.500 0.000 0.000 1
Pr1 Pr 0.930 0.715 0.144 1
Pr2 Pr 0.070 0.285 0.856 1
```

Computed properties:
magnetization	0.000	μB/f.u.
formation enthalpy at 0 K	0.018	eV/atom
density of states at the Fermi level	9.41	states/eV per cell
energy	-5.43	eV/atom
SG	P-1, No. 2


First-principles (PBE-GGA) data for Pr4Dy3Y5 after structural relaxation, as listed in Alexandria.

CIF file:
```
data_Pr4Dy3Y5
_chemical_formula_sum 'Pr4 Dy3 Y5'
_cell_length_a 5.976
_cell_length_b 8.677
_cell_length_c 9.760
_cell_angle_alpha 105.51
_cell_angle_beta 72.17
_cell_angle_gamma 69.86
_symmetry_space_group_name_H-M 'P 1'
_symmetry_Int_Tables_number 1
loop_
_symmetry_equiv_pos_as_xyz
'x,y,z'
loop_
_atom_site_label
_atom_site_type_symbol
_atom_site_fract_x
_atom_site_fract_y
_atom_site_fract_z
_atom_site_occupancy
Y1 Y 0.633 0.937 0.796 1
Y2 Y 0.788 0.542 0.882 1
Y3 Y 0.500 0.500 0.500 1
Y4 Y 0.367 0.063 0.204 1
Y5 Y 0.212 0.458 0.118 1
Pr1 Pr 0.137 0.778 0.949 1
Pr2 Pr 0.166 0.051 0.616 1
Pr3 Pr 0.834 0.949 0.384 1
Pr4 Pr 0.863 0.222 0.051 1
Dy1 Dy 0.476 0.311 0.737 1
Dy2 Dy 0.000 0.500 0.500 1
Dy3 Dy 0.524 0.689 0.263 1
```

Computed properties:
magnetization	0.581	μB/f.u.
formation enthalpy at 0 K	0.218	eV/atom
density of states at the Fermi level	19.95	states/eV per cell
energy	-5.22	eV/atom
SG	C2/m, No. 12


First-principles (PBE-GGA) data for PrDy3Y5 after structural relaxation, as listed in Alexandria.

CIF file:
```
data_PrDy3Y5
_chemical_formula_sum 'Pr2 Dy6 Y10'
_cell_length_a 7.038
_cell_length_b 9.779
_cell_length_c 9.779
_cell_angle_alpha 120.00
_cell_angle_beta 90.00
_cell_angle_gamma 90.00
_symmetry_space_group_name_H-M 'P 1'
_symmetry_Int_Tables_number 1
loop_
_symmetry_equiv_pos_as_xyz
'x,y,z'
loop_
_atom_site_label
_atom_site_type_symbol
_atom_site_fract_x
_atom_site_fract_y
_atom_site_fract_z
_atom_site_occupancy
Y1 Y 0.750 0.000 0.672 1
Y2 Y 0.750 0.328 0.328 1
Y3 Y 0.000 0.667 0.333 1
Y4 Y 0.250 0.672 0.672 1
Y5 Y 0.500 0.333 0.667 1
Y6 Y 0.250 0.328 0.000 1
Y7 Y 0.000 0.333 0.667 1
Y8 Y 0.500 0.667 0.333 1
Y9 Y 0.750 0.672 0.000 1
Y10 Y 0.250 0.000 0.328 1
Dy1 Dy 0.250 0.657 0.000 1
Dy2 Dy 0.250 0.343 0.343 1
Dy3 Dy 0.750 0.343 0.000 1
Dy4 Dy 0.750 0.000 0.343 1
Dy5 Dy 0.250 0.000 0.657 1
Dy6 Dy 0.750 0.657 0.657 1
Pr1 Pr 0.000 0.000 0.000 1
Pr2 Pr 0.500 0.000 0.000 1
```

Computed properties:
magnetization	0.000	μB/f.u.
formation enthalpy at 0 K	0.066	eV/atom
density of states at the Fermi level	30.93	states/eV per cell
energy	-5.59	eV/atom
SG	P6_3/mcm, No. 193


First-principles (PBE-GGA) data for Pr6Dy5Y after structural relaxation, as listed in Alexandria.

CIF file:
```
data_Pr6Dy5Y
_chemical_formula_sum 'Pr6 Dy5 Y1'
_cell_length_a 11.902
_cell_length_b 6.315
_cell_length_c 6.315
_cell_angle_alpha 60.00
_cell_angle_beta 84.94
_cell_angle_gamma 79.84
_symmetry_space_group_name_H-M 'P 1'
_symmetry_Int_Tables_number 1
loop_
_symmetry_equiv_pos_as_xyz
'x,y,z'
loop_
_atom_site_label
_atom_site_type_symbol
_atom_site_fract_x
_atom_site_fract_y
_atom_site_fract_z
_atom_site_occupancy
Pr1 Pr 0.750 0.417 0.666 1
Pr2 Pr 0.750 0.749 0.000 1
Pr3 Pr 0.750 0.083 0.334 1
Pr4 Pr 0.250 0.917 0.666 1
Pr5 Pr 0.250 0.583 0.334 1
Pr6 Pr 0.250 0.251 0.000 1
Dy1 Dy 0.500 0.833 0.333 1
Dy2 Dy 0.000 0.333 0.333 1
Dy3 Dy 0.500 0.500 0.000 1
Dy4 Dy 0.500 0.167 0.667 1
Dy5 Dy 0.000 0.667 0.667 1
Y1 Y 0.000 0.000 0.000 1
```

Computed properties:
magnetization	0.000	μB/f.u.
formation enthalpy at 0 K	0.010	eV/atom
density of states at the Fermi level	13.36	states/eV per cell
energy	-4.84	eV/atom
SG	C2/m, No. 12


First-principles (PBE-GGA) data for Pr2Dy3Y3 after structural relaxation, as listed in Alexandria.

CIF file:
```
data_Pr2Dy3Y3
_chemical_formula_sum 'Pr2 Dy3 Y3'
_cell_length_a 5.099
_cell_length_b 5.100
_cell_length_c 10.755
_cell_angle_alpha 103.71
_cell_angle_beta 103.71
_cell_angle_gamma 90.00
_symmetry_space_group_name_H-M 'P 1'
_symmetry_Int_Tables_number 1
loop_
_symmetry_equiv_pos_as_xyz
'x,y,z'
loop_
_atom_site_label
_atom_site_type_symbol
_atom_site_fract_x
_atom_site_fract_y
_atom_site_fract_z
_atom_site_occupancy
Y1 Y 0.377 0.377 0.754 1
Y2 Y 0.623 0.623 0.246 1
Y3 Y 0.500 0.000 0.000 1
Dy1 Dy 0.123 0.123 0.246 1
Dy2 Dy 0.877 0.877 0.754 1
Dy3 Dy 0.000 0.500 0.000 1
Pr1 Pr 0.750 0.250 0.500 1
Pr2 Pr 0.250 0.750 0.500 1
```

Computed properties:
magnetization	0.000	μB/f.u.
formation enthalpy at 0 K	0.024	eV/atom
density of states at the Fermi level	12.35	states/eV per cell
energy	-5.32	eV/atom
SG	Immm, No. 71


First-principles (PBE-GGA) data for Pr4Dy11Y9 after structural relaxation, as listed in Alexandria.

CIF file:
```
data_Pr4Dy11Y9
_chemical_formula_sum 'Pr4 Dy11 Y9'
_cell_length_a 3.711
_cell_length_b 15.157
_cell_length_c 15.157
_cell_angle_alpha 112.64
_cell_angle_beta 90.00
_cell_angle_gamma 90.00
_symmetry_space_group_name_H-M 'P 1'
_symmetry_Int_Tables_number 1
loop_
_symmetry_equiv_pos_as_xyz
'x,y,z'
loop_
_atom_site_label
_atom_site_type_symbol
_atom_site_fract_x
_atom_site_fract_y
_atom_site_fract_z
_atom_site_occupancy
Dy1 Dy 0.000 0.592 0.955 1
Dy2 Dy 0.000 0.636 0.364 1
Dy3 Dy 0.000 0.000 0.000 1
Dy4 Dy 0.000 0.159 0.841 1
Dy5 Dy 0.000 0.712 0.712 1
Dy6 Dy 0.000 0.955 0.592 1
Dy7 Dy 0.000 0.408 0.045 1
Dy8 Dy 0.000 0.045 0.408 1
Dy9 Dy 0.000 0.841 0.159 1
Dy10 Dy 0.000 0.364 0.636 1
Dy11 Dy 0.000 0.288 0.288 1
Y1 Y 0.500 0.838 0.365 1
Y2 Y 0.500 0.935 0.788 1
Y3 Y 0.500 0.365 0.838 1
Y4 Y 0.500 0.635 0.162 1
Y5 Y 0.500 0.065 0.212 1
Y6 Y 0.500 0.212 0.065 1
Y7 Y 0.500 0.162 0.635 1
Y8 Y 0.500 0.788 0.935 1
Y9 Y 0.500 0.500 0.500 1
Pr1 Pr 0.500 0.245 0.446 1
Pr2 Pr 0.500 0.446 0.245 1
Pr3 Pr 0.500 0.755 0.554 1
Pr4 Pr 0.500 0.554 0.755 1
```

Computed properties:
magnetization	0.003	μB/f.u.
formation enthalpy at 0 K	0.056	eV/atom
density of states at the Fermi level	31.20	states/eV per cell
energy	-5.27	eV/atom
SG	Cmmm, No. 65


First-principles (PBE-GGA) data for PrDyY4 after structural relaxation, as listed in Alexandria.

CIF file:
```
data_PrDyY4
_chemical_formula_sum 'Pr1 Dy1 Y4'
_cell_length_a 4.557
_cell_length_b 4.558
_cell_length_c 11.155
_cell_angle_alpha 90.00
_cell_angle_beta 90.00
_cell_angle_gamma 90.00
_symmetry_space_group_name_H-M 'P 1'
_symmetry_Int_Tables_number 1
loop_
_symmetry_equiv_pos_as_xyz
'x,y,z'
loop_
_atom_site_label
_atom_site_type_symbol
_atom_site_fract_x
_atom_site_fract_y
_atom_site_fract_z
_atom_site_occupancy
Y1 Y 0.497 0.001 0.756 1
Y2 Y 0.997 0.501 0.248 1
Y3 Y 0.497 0.001 0.248 1
Y4 Y 0.997 0.501 0.756 1
Dy1 Dy 0.497 0.501 0.002 1
Pr1 Pr 0.997 0.001 0.502 1
```

Computed properties:
magnetization	0.000	μB/f.u.
formation enthalpy at 0 K	0.660	eV/atom
density of states at the Fermi level	12.90	states/eV per cell
energy	-5.21	eV/atom
SG	P4/mmm, No. 123


First-principles (PBE-GGA) data for Pr3Dy3Y4 after structural relaxation, as listed in Alexandria.

CIF file:
```
data_Pr3Dy3Y4
_chemical_formula_sum 'Pr3 Dy3 Y4'
_cell_length_a 3.708
_cell_length_b 9.550
_cell_length_c 9.550
_cell_angle_alpha 90.35
_cell_angle_beta 90.00
_cell_angle_gamma 90.00
_symmetry_space_group_name_H-M 'P 1'
_symmetry_Int_Tables_number 1
loop_
_symmetry_equiv_pos_as_xyz
'x,y,z'
loop_
_atom_site_label
_atom_site_type_symbol
_atom_site_fract_x
_atom_site_fract_y
_atom_site_fract_z
_atom_site_occupancy
Y1 Y 0.000 0.127 0.121 1
Y2 Y 0.000 0.373 0.627 1
Y3 Y 0.000 0.625 0.375 1
Y4 Y 0.000 0.879 0.873 1
Dy1 Dy 0.000 0.494 0.998 1
Dy2 Dy 0.500 0.174 0.826 1
Dy3 Dy 0.000 0.002 0.506 1
Pr1 Pr 0.500 0.674 0.675 1
Pr2 Pr 0.500 0.826 0.174 1
Pr3 Pr 0.500 0.325 0.326 1
```

Computed properties:
magnetization	0.000	μB/f.u.
formation enthalpy at 0 K	0.111	eV/atom
density of states at the Fermi level	8.36	states/eV per cell
energy	-5.29	eV/atom
SG	Amm2, No. 38


- Among the records above, which one has the lowest formation enthalpy at 0 K?
  Pr6Dy5Y


- Among the records above, which one has the highest formation enthalpy at 0 K?
  PrDyY4


- Look up the energy of the seventh one.
  -5.59 eV/atom


- Number 9 is which compound?
  Pr2Dy3Y3